[1]
Computed, not measured: crystalline Ca3U2TiAs6 at its relaxed geometry at the GGA-PBE level of DFT.

**Uncorrected energy**: -6.3238 eV per atom
**DOS at the Fermi energy**: 29.85 states/eV per cell

Unit cell a=6.9986 b=12.1241 c=7.2364 alpha=90.00 beta=108.89 gamma=90.00
Space group C2/m (No. 12)
One atom of each set of equivalent atoms:
Ca  0.0000  0.0000  0.0000
Ca  0.0000  0.3305  0.0000
U  0.0000  0.1661  0.5000
Ti  0.0000  0.5000  0.5000
As  0.2350  0.3397  0.7247
As  0.2444  0.5000  0.2735

=====

[2]
Computed, not measured: crystalline Mg4SnAu5 at its relaxed geometry at the GGA-PBE level of DFT.

**Uncorrected energy**: -3.1834 eV per atom
**DOS at the Fermi energy**: 2.89 states/eV per cell

Unit cell a=3.3601 b=3.3601 c=16.7236 alpha=90.00 beta=90.00 gamma=90.00
Space group P4/mmm (No. 123)
One atom of each set of equivalent atoms:
Mg  0.0000  0.0000  0.0964
Mg  0.0000  0.0000  0.2897
Sn  0.0000  0.0000  0.5000
Au  0.5000  0.5000  0.0000
Au  0.5000  0.5000  0.1929
Au  0.5000  0.5000  0.3822

=====

[3]
Computed, not measured: crystalline Ce2PmLu at its relaxed geometry at the GGA-PBE level of DFT.

**Uncorrected energy**: -5.1806 eV per atom
**DOS at the Fermi energy**: 10.03 states/eV per cell

Unit cell a=4.8976 b=4.8976 c=5.0722 alpha=90.00 beta=90.00 gamma=90.00
Space group P4/mmm (No. 123)
One atom of each set of equivalent atoms:
Ce  0.0000  0.5000  0.0000
Pm  0.0000  0.0000  0.5000
Lu  0.5000  0.5000  0.5000